Entry from Alexandria: a relaxed CrP2SO crystal (GGA+U).

POSCAR file:
```
CrP2SO
1.0
4.589 0.000 0.000
0.000 4.589 0.000
0.000 0.000 3.526
Cr P S O
1 2 1 1
Cartesian
0.000 0.000 0.000 Cr
0.000 2.294 0.000 P
2.294 0.000 0.000 P
2.294 2.294 1.763 S
0.000 0.000 1.763 O
```

Summary:
* spin magnetization: 0.0 Bohr magnetons per cell
* volume: 14.849 Å³/atom
* density: 3.6 g/cm³
* energy relative to the lowest polymorph listed for this composition: 0 meV/atom